! CdP2Os2, optimized geometry, DFT PBEsol; values from VASP
! ΔE_f, eV per atom: -0.072
! Symmetry: No. 139
&SYSTEM
  ibrav = 0, nat = 10, ntyp = 3
/
ATOMIC_SPECIES
Cd 112.41 Cd.upf
P 30.97 P.upf
Os 190.23 Os.upf
ATOMIC_POSITIONS crystal
Cd 0.000 0.000 0.000
Cd 0.500 0.500 0.500
P 0.000 0.500 0.250
P 0.000 0.500 0.750
P 0.500 0.000 0.250
P 0.500 0.000 0.750
Os 0.000 0.000 0.375
Os 0.000 0.000 0.625
Os 0.500 0.500 0.125
Os 0.500 0.500 0.875
CELL_PARAMETERS angstrom
3.691 0.000 0.000
0.000 3.691 0.000
0.000 0.000 11.262